# 1
The following is a DFT calculation (PBE) of crystalline Li2HfZr at its relaxed geometry.

Values from the calculation:
M_tot in μB per atom: 0.36
E in Ry per atom: -0.369

a b c (Å): 4.8173 4.8173 4.8173
angles (deg): 60.00 60.00 60.00
Closest atoms and distances in Å follow each position.
Atoms (fractional coordinates):
Hf 0.2500 0.2500 0.2500  4 Zr 2.95, 4 Li 2.95
Zr 0.5000 0.5000 0.5000  4 Li 2.95, 4 Hf 2.95
Li 0.0000 0.0000 0.0000  4 Li 2.95, 4 Hf 2.95
Li 0.7500 0.7500 0.7500  4 Li 2.95, 4 Zr 2.95

---

# 2
The following is a DFT calculation (PBE) of crystalline Sr3Lu4O9 at its relaxed geometry.

Values from the calculation:
M_tot in μB per atom: 0.00
E in Ry per atom: -0.553

a b c (Å): 8.8342 8.8342 8.8342
angles (deg): 38.58 38.58 38.58
Closest atoms and distances in Å follow each position.
Atoms (fractional coordinates):
Sr 0.4113 0.4113 0.4113  3 O 2.43
O 0.4112 0.9947 0.8289  2 Lu 2.16
Lu 0.6933 0.6933 0.6933  6 O 2.16-2.22
O 0.8694 0.2599 0.4368  3 Lu 2.14-2.36
O 0.8289 0.4112 0.9947  2 Lu 2.16
O 0.2599 0.4368 0.8694  3 Lu 2.14-2.36
Sr 0.9979 0.9979 0.9979  6 O 2.53-2.64
O 0.9947 0.8289 0.4112  2 Lu 2.16
Lu 0.5675 0.5675 0.5675  6 O 2.14-2.36
O 0.5608 0.9544 0.3892  3 Lu 2.14-2.36
Lu 0.1300 0.1300 0.1300  6 O 2.16-2.22
Sr 0.8252 0.8252 0.8252  6 O 2.51-2.64
O 0.9544 0.3892 0.5608  3 Lu 2.14-2.36
O 0.3892 0.5608 0.9544  3 Lu 2.14-2.36
O 0.4368 0.8694 0.2599  3 Lu 2.14-2.36
Lu 0.2558 0.2558 0.2558  6 O 2.14-2.36

---

# 3
The following is a DFT calculation (PBE) of crystalline Hf2Bi2Pb at its relaxed geometry.

Values from the calculation:
M_tot in μB per atom: 0.00
Relative energy among the computed polymorphs in meV per atom: 336

a b c (Å): 7.5790 7.5790 7.5790
angles (deg): 145.97 145.97 48.89
Closest atoms and distances in Å follow each position.
Atoms (fractional coordinates):
Pb 0.0000 0.0000 0.0000  8 Hf 3.43
Bi 0.7500 0.2500 0.5000  4 Hf 3.03, 4 Bi 3.14
Bi 0.2500 0.7500 0.5000  4 Hf 3.03, 4 Bi 3.14
Hf 0.6004 0.6004 0.0000  1 Hf 2.77, 4 Bi 3.03
Hf 0.3996 0.3996 0.0000  1 Hf 2.77, 4 Bi 3.03

---

# 4
The following is a DFT calculation (PBE) of crystalline PaZnB at its relaxed geometry.

Values from the calculation:
M_tot in μB per atom: 0.00
Relative energy among the computed polymorphs in meV per atom: 657

a b c (Å): 4.2690 4.2690 4.2690
angles (deg): 60.00 60.00 60.00
Closest atoms and distances in Å follow each position.
Atoms (fractional coordinates):
B 0.2500 0.2500 0.2500  4 Zn 2.61
Zn 0.0000 0.0000 0.0000  4 Pa 2.61, 4 B 2.61
Pa 0.7500 0.7500 0.7500  4 Zn 2.61

---

# 5
The following is a DFT calculation (PBE) of crystalline PuFePt at its relaxed geometry.

Values from the calculation:
E_form in meV/atom: 717
M_tot in μB per atom: 0.01

a b c (Å): 4.3229 4.3229 4.3229
angles (deg): 60.00 60.00 60.00
Closest atoms and distances in Å follow each position.
Atoms (fractional coordinates):
Pt 0.0000 0.0000 0.0000  4 Pu 2.65
Pu 0.2500 0.2500 0.2500  4 Pt 2.65, 4 Fe 2.65
Fe 0.5000 0.5000 0.5000  4 Pu 2.65

---

# 6
The following is a DFT calculation (PBE) of crystalline Ag4SnI3 at its relaxed geometry.

Values from the calculation:
E in Ry per atom: -0.176

a b c (Å): 5.9816 5.9816 5.9816
angles (deg): 90.00 90.00 90.00
Closest atoms and distances in Å follow each position.
Atoms (fractional coordinates):
I 0.5000 0.5000 0.0000  6 Ag 2.99
I 0.5000 0.0000 0.5000  6 Ag 2.99
Ag 0.5000 0.0000 0.0000  2 Sn 2.99, 4 I 2.99
Ag 0.5000 0.5000 0.5000  6 I 2.99
Sn 0.0000 0.0000 0.0000  6 Ag 2.99
I 0.0000 0.5000 0.5000  6 Ag 2.99
Ag 0.0000 0.5000 0.0000  2 Sn 2.99, 4 I 2.99
Ag 0.0000 0.0000 0.5000  2 Sn 2.99, 4 I 2.99

---

# 7
The following is a DFT calculation (PBE) of crystalline Li2HfScAl2Pd2 at its relaxed geometry.

Values from the calculation:
M_tot in μB per atom: 0.00
E in Ry per atom: -0.395

a b c (Å): 4.4848 4.4848 6.3168
angles (deg): 90.00 90.00 90.00
Closest atoms and distances in Å follow each position.
Atoms (fractional coordinates):
Al 0.0000 0.0000 0.5000  4 Li 2.73, 4 Pd 2.76
Li 0.5000 0.0000 0.2545  2 Sc 2.73, 4 Al 2.73-2.76, 2 Hf 2.76
Hf 0.0000 0.0000 0.0000  4 Pd 2.73, 4 Li 2.76
Li 0.0000 0.5000 0.7455  4 Al 2.73-2.76, 2 Sc 2.73, 2 Hf 2.76
Sc 0.5000 0.5000 0.5000  4 Li 2.73, 4 Pd 2.76
Al 0.5000 0.5000 0.0000  4 Pd 2.73, 4 Li 2.76
Pd 0.0000 0.5000 0.2453  2 Hf 2.73, 4 Al 2.73-2.76, 2 Sc 2.76
Pd 0.5000 0.0000 0.7547  2 Hf 2.73, 4 Al 2.73-2.76, 2 Sc 2.76

---

# 8
The following is a DFT calculation (PBE) of crystalline Sr2AlCu2 at its relaxed geometry.

Values from the calculation:
E in Ry per atom: -0.209

a b c (Å): 3.6190 3.6190 9.7607
angles (deg): 100.68 100.68 90.00
Closest atoms and distances in Å follow each position.
Atoms (fractional coordinates):
Cu 0.7500 0.2500 0.5000  4 Cu 2.56
Sr 0.6139 0.6139 0.2278  4 Cu 3.14, 4 Al 3.34
Sr 0.3861 0.3861 0.7722  4 Cu 3.14, 4 Al 3.34
Al 0.0000 0.0000 0.0000  8 Sr 3.34, 4 Al 3.62
Cu 0.2500 0.7500 0.5000  4 Cu 2.56

---

The calculation returns the following volume values, one per record and in order: 79.05; 240.89; 135.74; 55.01; 57.12; 214.02; 127.05; 123.37 Å³/cell.
The calculation returns the following mass density values, one per record and in order: 6.0; 7.6; 12.0; 9.3; 14.4; 7.2; 6.6; 4.4 g/cm³.